# 1
Computed, not measured: a geometry-optimized ErZnGe2 structure at the PBE level of DFT.

Cell and atoms, written as POSCAR:
```
ErZnGe2
1.0
-2.943 2.689 0.825
-2.986 -3.013 -0.832
0.061 -1.207 4.151
Ge Zn Er
2 1 1
direct
0.000 0.000 0.500
0.000 0.500 0.000
0.500 0.000 0.000
0.500 0.500 0.500
```

Properties
- magnetic moment (μB per cell) = 0.00
- raw total energy (eV per atom) = -4.194
- energy of formation from the pure elements (eV per atom) = -0.426


# 2
Computed, not measured: a geometry-optimized Re2SiPt structure at the PBE level of DFT.

Cell and atoms, written as POSCAR:
```
Re2SiPt
1.0
-2.575 2.260 1.893
-1.708 -2.229 0.339
3.808 -2.324 3.902
Re Si Pt
2 1 1
direct
0.194 0.500 0.622
0.594 0.000 0.422
0.375 0.000 0.983
0.940 0.500 0.113
```

Properties
- raw formation energy (eV/atom) = -0.10
- magnetic moment (μB per cell) = 0.00
- raw total energy (eV per atom) = -9.189


# 3
Computed, not measured: a geometry-optimized Rb2AlBrF6 structure at the PBE level of DFT.

Cell and atoms, written as POSCAR:
```
Rb2AlBrF6
1.0
6.879 0.000 0.000
0.000 6.879 0.000
3.440 3.440 3.963
F Br Rb Al
6 1 2 1
direct
0.252 0.252 0.496
0.748 0.748 0.504
0.317 0.317 0.000
0.683 0.683 0.000
0.683 0.317 0.000
0.317 0.683 0.000
0.000 0.000 0.000
0.750 0.250 0.500
0.250 0.750 0.500
0.500 0.500 0.000
```

Properties
- raw formation energy (eV/atom) = -2.62
- magnetic moment (μB per cell) = 0.00
- raw total energy (eV per atom) = -4.481


# 4
Computed, not measured: a geometry-optimized TaNb14Ir structure at the PBE level of DFT.

Cell and atoms, written as POSCAR:
```
TaNb14Ir
1.0
-3.272 -3.898 2.647
4.724 -2.503 -2.078
4.406 1.708 7.961
Ta Nb Ir
1 14 1
direct
0.125 0.875 0.500
0.125 0.875 0.000
0.625 0.375 0.000
0.125 0.375 0.500
0.125 0.375 0.000
0.625 0.875 0.500
0.625 0.875 0.000
0.376 0.126 0.746
0.376 0.126 0.254
0.874 0.624 0.746
0.874 0.624 0.254
0.374 0.626 0.747
0.374 0.626 0.253
0.876 0.124 0.747
0.876 0.124 0.253
0.625 0.375 0.500
```

Properties
- magnetic moment (μB per cell) = 0.00
- raw total energy (eV per atom) = -10.216
- energy of formation from the pure elements (eV per atom) = -0.110


# 5
Computed, not measured: a geometry-optimized Na2LiRu structure at the PBE level of DFT.

Cell and atoms, written as POSCAR:
```
Na2LiRu
1.0
-6.070 -4.791 -0.692
1.820 -1.230 -7.447
-0.539 -5.127 -3.332
Ru Li Na
2 2 4
direct
0.000 0.000 0.000
0.750 0.250 0.500
0.500 0.500 0.000
0.250 0.750 0.500
0.610 0.125 0.250
0.140 0.625 0.250
0.375 0.390 0.750
0.875 0.860 0.750
```

Properties
- magnetic moment (μB per cell) = 2.50
- raw total energy (eV per atom) = -2.573
- E above lowest polymorph (meV/atom) = 84
- energy of formation from the pure elements (eV per atom) = 0.883


# 6
Computed, not measured: a geometry-optimized MnSbRu2 structure at the PBE level of DFT.

Cell and atoms, written as POSCAR:
```
MnSbRu2
1.0
-1.495 -2.483 -0.800
-0.704 -0.503 2.879
-5.816 3.748 -0.767
Mn Ru Sb
1 2 1
direct
0.500 0.500 0.771
0.000 0.000 0.994
0.500 0.500 0.239
0.000 0.000 0.496
```

Properties
- raw formation energy (eV/atom) = 0.31
- magnetic moment (μB per cell) = 2.32
- raw total energy (eV per atom) = -7.646


# 7
Computed, not measured: a geometry-optimized LaTc4 structure at the PBE level of DFT.

Cell and atoms, written as POSCAR:
```
LaTc4
1.0
4.357 0.000 0.000
-2.179 5.600 -0.007
0.000 1.701 4.012
La Tc
1 4
direct
0.000 0.000 0.000
0.250 0.500 0.250
0.373 0.745 0.627
0.627 0.255 0.373
0.750 0.500 0.750
```

Properties
- magnetic moment (μB per cell) = 0.00
- raw total energy (eV per atom) = -9.220
- E above lowest polymorph (meV/atom) = 0
- energy of formation from the pure elements (eV per atom) = 0.058


# 8
Computed, not measured: a geometry-optimized CsCa2CdAg structure at the PBE level of DFT.

Cell and atoms, written as POSCAR:
```
CsCa2CdAg
1.0
-3.132 1.408 4.951
-5.733 -2.052 -3.043
0.863 -5.570 2.130
Cs Ca Ag Cd
1 2 1 1
direct
0.000 0.500 0.000
0.000 0.000 0.500
0.500 0.000 0.000
0.500 0.500 0.500
0.000 0.000 0.000
```

Properties
- magnetic moment (μB per cell) = 0.00
- raw total energy (eV per atom) = -1.431
- energy of formation from the pure elements (eV per atom) = 0.294


# 9
Computed, not measured: a geometry-optimized Th2ZnOsAu structure at the PBE level of DFT.

Cell and atoms, written as POSCAR:
```
Th2ZnOsAu
1.0
-1.151 -0.374 -3.970
-0.545 -7.775 0.891
-6.794 3.269 1.662
Th Zn Os Au
4 2 2 2
direct
0.750 0.881 0.639
0.750 0.721 0.032
0.250 0.119 0.361
0.250 0.279 0.968
0.250 0.546 0.649
0.750 0.454 0.351
0.250 0.871 0.883
0.750 0.129 0.117
0.250 0.687 0.323
0.750 0.313 0.677
```

Properties
- magnetic moment (μB per cell) = 0.00
- raw total energy (eV per atom) = -6.586
- energy of formation from the pure elements (eV per atom) = -0.461


# 10
Computed, not measured: a geometry-optimized Sm2H3Pb structure at the PBE level of DFT.

Cell and atoms, written as POSCAR:
```
Sm2H3Pb
1.0
-3.727 0.711 0.024
0.747 -6.049 -4.795
-0.389 -2.282 7.453
Sm H Pb
4 6 2
direct
0.471 0.941 0.725
0.529 0.059 0.275
0.804 0.609 0.336
0.196 0.391 0.664
0.309 0.618 0.529
0.933 0.866 0.587
0.591 0.183 0.611
0.409 0.817 0.389
0.067 0.134 0.413
0.691 0.382 0.471
0.863 0.725 0.966
0.137 0.275 0.034
```

Properties
- magnetic moment (μB per cell) = 0.00
- raw total energy (eV per atom) = -4.451


# 11
Computed, not measured: a geometry-optimized LaCdCl2 structure at the PBE level of DFT.

Cell and atoms, written as POSCAR:
```
LaCdCl2
1.0
0.000 3.689 3.689
3.689 0.000 3.689
3.689 3.689 0.000
Cl Cd La
2 1 1
direct
0.250 0.250 0.250
0.750 0.750 0.750
0.000 0.000 0.000
0.500 0.500 0.500
```

Properties
- raw formation energy (eV/atom) = -1.17
- magnetic moment (μB per cell) = 0.97
- raw total energy (eV per atom) = -3.553
- E above lowest polymorph (meV/atom) = 262


# 12
Computed, not measured: a geometry-optimized Tb3AlTe2 structure at the PBE level of DFT.

Cell and atoms, written as POSCAR:
```
Tb3AlTe2
1.0
4.031 0.000 -1.142
-0.644 5.677 -2.272
0.006 -0.245 7.707
Tb Al Te
3 1 2
direct
0.341 0.341 0.683
0.000 0.000 0.000
0.659 0.659 0.317
0.000 0.500 0.000
0.671 0.171 0.341
0.329 0.829 0.659
```

Properties
- raw formation energy (eV/atom) = -1.00
- magnetic moment (μB per cell) = 0.00
- raw total energy (eV per atom) = -4.982


> Look up the magnetic moment of the sixth one.

2.32 μB per cell